1.
Below is an optimized crystal structure of SmDyTl, with properties calculated at the PBE level.

Cell and atoms, written as POSCAR:
```
SmDyTl
1.0
5.006 0.000 0.000
0.000 6.793 0.180
0.000 -0.418 6.782
Sm Dy Tl
2 2 2
direct
0.500 0.188 0.812
0.500 0.812 0.188
0.000 0.685 0.685
0.000 0.315 0.315
0.500 0.500 0.500
0.000 0.000 0.000
```

Output
Size of the total moment (μB/f.u.): 0.97
Distance to the lowest polymorph of the same formula (meV/atom): 477
Space-group type: Cmmm (65)
DFT total energy (eV per cell): -22.08
Formation enthalpy at 0 K (kJ/mol of atoms): 21

=====

2.
Below is an optimized crystal structure of K2MnTlPt, with properties calculated at the PBE level.

Cell and atoms, written as POSCAR:
```
K2MnTlPt
1.0
-0.771 -3.951 4.831
0.312 -3.706 -2.981
6.227 -0.166 0.858
Tl K Pt Mn
1 2 1 1
direct
0.500 0.500 0.500
0.500 0.000 0.000
0.000 0.000 0.500
0.000 0.500 0.000
0.000 0.000 0.000
```

Output
Size of the total moment (μB/f.u.): 4.61
Space-group type: P4/mmm (123)
DFT total energy (eV per cell): -17.30
Formation enthalpy at 0 K (kJ/mol of atoms): 48

=====

3.
Below is an optimized crystal structure of AcCe2Pu, with properties calculated at the PBE level.

Cell and atoms, written as POSCAR:
```
AcCe2Pu
1.0
3.618 0.000 0.000
0.000 3.618 0.000
0.000 0.000 9.433
Ac Ce Pu
1 2 1
direct
0.500 0.500 0.500
0.000 0.000 0.793
0.000 0.000 0.207
0.500 0.500 0.000
```

Output
Size of the total moment (μB/f.u.): 7.13
Distance to the lowest polymorph of the same formula (meV/atom): 0
Space-group type: P4/mmm (123)
DFT total energy (eV per cell): -29.65
Formation enthalpy at 0 K (kJ/mol of atoms): 16

=====

4.
Below is an optimized crystal structure of K4TlNi, with properties calculated at the PBE level.

Cell and atoms, written as POSCAR:
```
K4TlNi
1.0
0.000 5.095 5.095
5.095 0.000 5.095
5.095 5.095 0.000
Ni Tl K
1 1 4
direct
0.750 0.750 0.750
0.000 0.000 0.000
0.376 0.376 0.376
0.376 0.376 0.873
0.873 0.376 0.376
0.376 0.873 0.376
```

Output
Size of the total moment (μB/f.u.): 0.23
Space-group type: F-43m (216)
DFT total energy (eV per cell): -8.48
Formation enthalpy at 0 K (kJ/mol of atoms): 65

=====

5.
Below is an optimized crystal structure of NbFeHRu2, with properties calculated at the PBE level.

Cell and atoms, written as POSCAR:
```
NbFeHRu2
1.0
3.883 0.000 0.000
0.000 3.883 0.000
0.000 0.000 3.967
H Ru Nb Fe
1 2 1 1
direct
0.000 0.000 0.000
0.000 0.500 0.000
0.500 0.000 0.000
0.000 0.000 0.500
0.500 0.500 0.500
```

Output
Size of the total moment (μB/f.u.): 1.55
Distance to the lowest polymorph of the same formula (meV/atom): 73
Space-group type: P4/mmm (123)
DFT total energy (eV per cell): -40.66

=====

6.
Below is an optimized crystal structure of Y2CoBiPt, with properties calculated at the PBE level.

Cell and atoms, written as POSCAR:
```
Y2CoBiPt
1.0
5.413 0.000 0.000
0.000 4.677 0.000
0.000 0.000 5.413
Y Co Bi Pt
2 1 1 1
direct
0.500 0.000 0.000
0.000 0.000 0.500
0.000 0.500 0.000
0.500 0.500 0.500
0.000 0.000 0.000
```

Output
Size of the total moment (μB/f.u.): 1.78
Space-group type: P4/mmm (123)
DFT total energy (eV per cell): -31.17
Formation enthalpy at 0 K (kJ/mol of atoms): -23

=====

7.
Below is an optimized crystal structure of Na2InSb2, with properties calculated at the PBE level.

Cell and atoms, written as POSCAR:
```
Na2InSb2
1.0
5.046 0.000 0.000
0.000 5.046 0.000
2.523 2.523 6.426
Na In Sb
2 1 2
direct
0.750 0.250 0.500
0.250 0.750 0.500
0.000 0.000 0.000
0.605 0.605 0.790
0.395 0.395 0.210
```

Output
Size of the total moment (μB/f.u.): 0.00
Formation energy without anion corrections (eV per formula unit): -0.48
Distance to the lowest polymorph of the same formula (meV/atom): 188
Space-group type: I4/mmm (139)
DFT total energy (eV per cell): -14.10

=====

8.
Below is an optimized crystal structure of ZrMo2, with properties calculated at the PBE level.

Cell and atoms, written as POSCAR:
```
ZrMo2
1.0
1.630 5.175 -0.019
-1.630 5.175 -0.019
0.000 1.971 6.256
Mo Zr
4 2
direct
0.000 0.000 0.000
0.000 0.000 0.500
0.339 0.339 0.839
0.661 0.661 0.161
0.339 0.339 0.323
0.661 0.661 0.677
```

Output
Size of the total moment (μB/f.u.): 0.00
Distance to the lowest polymorph of the same formula (meV/atom): 183
Space-group type: C2/m (12)
DFT total energy (eV per cell): -60.22
Formation enthalpy at 0 K (kJ/mol of atoms): 3

=====

9.
Below is an optimized crystal structure of CePt6, with properties calculated at the PBE level.

Cell and atoms, written as POSCAR:
```
CePt6
1.0
-4.369 -4.163 -0.748
2.217 -1.339 -5.502
3.602 -4.226 2.480
Pt Ce
6 1
direct
0.804 0.500 0.500
0.500 0.196 0.500
0.500 0.500 0.196
0.500 0.500 0.804
0.500 0.804 0.500
0.196 0.500 0.500
0.000 0.000 0.000
```

Output
Size of the total moment (μB/f.u.): 1.81
Distance to the lowest polymorph of the same formula (meV/atom): 1452
Space-group type: Pm-3m (221)
DFT total energy (eV per cell): -36.08
Formation enthalpy at 0 K (kJ/mol of atoms): 84

=====

10.
Below is an optimized crystal structure of RePtN, with properties calculated at the PBE level.

Cell and atoms, written as POSCAR:
```
RePtN
1.0
5.137 0.000 -0.015
0.000 2.782 0.000
-2.529 0.000 5.782
Re N Pt
2 2 2
direct
0.201 0.000 0.571
0.201 0.500 0.071
0.074 0.000 0.238
0.074 0.500 0.738
0.634 0.000 0.054
0.634 0.500 0.554
```

Output
Size of the total moment (μB/f.u.): 0.00
Formation energy without anion corrections (eV per formula unit): 0.64
Distance to the lowest polymorph of the same formula (meV/atom): 204
Space-group type: Cm (8)
DFT total energy (eV per cell): -52.35

=====

11.
Below is an optimized crystal structure of Ba2CrAg, with properties calculated at the PBE level.

Cell and atoms, written as POSCAR:
```
Ba2CrAg
1.0
-1.935 -5.380 1.402
-3.549 -0.736 4.639
-5.660 -1.398 -0.816
Cr Ba Ag
1 2 1
direct
0.000 0.000 0.000
0.750 0.750 0.750
0.250 0.250 0.250
0.500 0.500 0.500
```

Output
Size of the total moment (μB/f.u.): 4.98
Distance to the lowest polymorph of the same formula (meV/atom): 91
Space-group type: Fm-3m (225)
DFT total energy (eV per cell): -15.03
Formation enthalpy at 0 K (kJ/mol of atoms): 31